DFT (GGA-PBE) results for Ti4SiMo after structural relaxation.

Space-group type: R-3m (166)

a b c (Å): 4.2409 4.2425 7.4881
angles (deg): 73.53 73.55 60.01
With the nearest neighbours (Å) after each atom.
Sites, in units of the cell vectors:
Ti1 0.6253 0.6254 0.1240  3 Mo 2.60, 1 Si 2.66
Ti2 0.3747 0.3746 0.8760  3 Mo 2.60, 1 Si 2.66
Ti3 0.1233 0.1230 0.6303  1 Mo 2.62, 3 Si 2.62
Ti4 0.8767 0.8770 0.3697  1 Mo 2.62, 3 Si 2.62
Si1 0.5000 0.5000 0.5000  8 Ti 2.62-2.66
Mo1 0.0000 0.0000 0.0000  8 Ti 2.60-2.62

=====

DFT (GGA-PBE) results for Ti2Si6Mo after structural relaxation.

Space-group type: C222 (21)

a b c (Å): 4.7064 4.7064 6.5221
angles (deg): 90.00 90.00 120.02
With the nearest neighbours (Å) after each atom.
Sites, in units of the cell vectors:
Ti1 0.5000 0.0000 0.6661  10 Si 2.57-2.78
Ti2 0.0000 0.5000 0.3339  10 Si 2.57-2.78
Si1 0.1662 0.8338 0.0000  5 Si 2.54-2.72, 2 Ti 2.57, 3 Mo 2.71-2.72
Si2 0.1571 0.3176 0.6670  5 Si 2.54-2.80, 4 Ti 2.58-2.78, 1 Mo 2.58
Si3 0.6824 0.8429 0.3330  5 Si 2.54-2.80, 4 Ti 2.58-2.78, 1 Mo 2.58
Si4 0.8338 0.1662 0.0000  5 Si 2.54-2.72, 2 Ti 2.57, 3 Mo 2.71-2.72
Si5 0.8429 0.6824 0.6670  5 Si 2.54-2.80, 4 Ti 2.58-2.78, 1 Mo 2.58
Si6 0.3176 0.1571 0.3330  5 Si 2.54-2.80, 4 Ti 2.58-2.78, 1 Mo 2.58
Mo1 0.5000 0.5000 0.0000  10 Si 2.58-2.72

=====

DFT (GGA-PBE) results for Ti2Si2Mo after structural relaxation.

Space-group type: P4/mbm (127)

a b c (Å): 6.5362 6.5362 3.4817
angles (deg): 90.00 90.00 90.00
With the nearest neighbours (Å) after each atom.
Sites, in units of the cell vectors:
Mo1 0.0000 0.0000 0.0000  4 Si 2.57
Mo2 0.5000 0.5000 0.0000  4 Si 2.57
Si1 0.3713 0.8713 0.0000  1 Si 2.38, 6 Ti 2.53-2.64, 2 Mo 2.57
Si2 0.8713 0.6287 0.0000  1 Si 2.38, 6 Ti 2.53-2.64, 2 Mo 2.57
Si3 0.6287 0.1287 0.0000  1 Si 2.38, 6 Ti 2.53-2.64, 2 Mo 2.57
Si4 0.1287 0.3713 0.0000  1 Si 2.38, 6 Ti 2.53-2.64, 2 Mo 2.57
Ti1 0.1720 0.6720 0.5000  6 Si 2.53-2.64
Ti2 0.6720 0.8280 0.5000  6 Si 2.53-2.64
Ti3 0.8280 0.3280 0.5000  6 Si 2.53-2.64
Ti4 0.3280 0.1720 0.5000  6 Si 2.53-2.64

=====

Looking at magnetic moment for the records above, in order, we have 0.00; 0.00; 0.00 μB per cell.
Looking at energy relative to the elements, uncorrected for the records above, in order, we have 0.09; -0.54; -0.73 eV/atom.